# 1
Sr2ZrSc | PBE-GGA | relaxed

```
Sr2ZrSc
1.0
3.446 -0.001 0.000
-1.105 3.264 0.000
0.000 0.000 11.936
Sc Sr Zr
1 2 1
direct
0.500 0.500 0.750
0.000 0.000 0.005
0.000 0.000 0.495
0.500 0.500 0.250
```

Calculated values
**Size of the total moment**: 1.535 μB per cell
**Energy of formation**: 0.554 eV/atom
**Volume**: 33.6 Å³/atom
**Relative energy among the computed polymorphs**: 0.277 eV/atom

---

# 2
ZrZn2Pt2 | PBE-GGA | relaxed

```
ZrZn2Pt2
1.0
-2.903 1.784 1.183
-2.128 -2.183 -1.927
-2.950 -4.330 4.787
Zn Zr Pt
2 1 2
direct
0.750 0.250 0.500
0.250 0.750 0.500
0.000 0.000 0.000
0.398 0.398 0.204
0.602 0.602 0.796
```

Calculated values
**Size of the total moment**: 0.000 μB per cell
**Energy of formation**: -0.666 eV/atom
**Volume**: 17.2 Å³/atom
**Relative energy among the computed polymorphs**: 0.066 eV/atom

---

# 3
NbCrSe2Br | PBE-GGA | relaxed

```
NbCrSe2Br
1.0
-0.302 -0.944 -4.805
3.573 -3.335 0.431
-3.310 -3.432 0.882
Cr Nb Se Br
1 1 2 1
direct
0.000 0.000 0.000
0.500 0.500 0.500
0.000 0.500 0.000
0.500 0.000 0.000
0.000 0.000 0.500
```

Calculated values
**Size of the total moment**: 6.016 μB per cell
**Formation energy (no corrections)**: 38.89 kJ per mole of atoms
**Volume**: 23.3 Å³/atom
**Relative energy among the computed polymorphs**: 0.273 eV/atom

---

# 4
La2Zn3Ir | PBE-GGA | relaxed

```
La2Zn3Ir
1.0
4.109 0.000 1.721
1.820 5.156 1.419
-0.147 -0.085 6.115
La Zn Ir
2 3 1
direct
0.557 0.206 0.680
0.450 0.812 0.288
0.840 0.610 0.710
0.827 0.248 0.099
0.176 0.743 0.905
0.151 0.380 0.317
```

Calculated values
**Size of the total moment**: 0.000 μB per cell
**Energy of formation**: -0.480 eV/atom
**Volume**: 21.8 Å³/atom

---

# 5
Sc2BeCu | PBE-GGA | relaxed

```
Sc2BeCu
1.0
-0.471 3.480 2.806
-2.330 -0.487 3.813
2.136 0.003 3.955
Sc Be Cu
2 1 1
direct
0.000 0.000 0.000
0.750 0.750 0.750
0.500 0.500 0.500
0.250 0.250 0.250
```

Calculated values
**Size of the total moment**: 0.853 μB per cell
**Energy of formation**: 0.163 eV/atom
**Volume**: 16.1 Å³/atom

---

# 6
BaAl2Te | PBE-GGA | relaxed

```
BaAl2Te
1.0
8.745 0.000 0.000
0.000 8.745 0.000
4.372 4.372 3.387
Te Ba Al
2 2 4
direct
0.500 0.500 0.000
0.250 0.750 0.500
0.000 0.000 0.000
0.750 0.250 0.500
0.580 0.125 0.250
0.170 0.625 0.250
0.375 0.420 0.750
0.875 0.830 0.750
```

Calculated values
**Size of the total moment**: 0.000 μB per cell
**Formation energy (no corrections)**: -13.69 kJ per mole of atoms
**Volume**: 32.4 Å³/atom

---

# 7
TmSc3Ag4 | PBE-GGA | relaxed

```
TmSc3Ag4
1.0
3.477 0.000 0.000
0.000 3.477 0.000
0.000 0.000 13.854
Sc Tm Ag
3 1 4
direct
0.500 0.500 0.256
0.500 0.500 0.500
0.500 0.500 0.744
0.500 0.500 0.000
0.000 0.000 0.864
0.000 0.000 0.136
0.000 0.000 0.378
0.000 0.000 0.622
```

Calculated values
**Size of the total moment**: 0.000 μB per cell
**Energy of formation**: -0.287 eV/atom
**Volume**: 20.9 Å³/atom

---

# 8
Nd4In3 | PBE-GGA | relaxed

```
Nd4In3
1.0
1.327 3.940 3.464
1.670 -1.239 4.996
9.305 0.609 -0.030
Nd In
4 3
direct
0.619 0.619 0.143
0.871 0.871 0.386
0.129 0.129 0.614
0.381 0.381 0.857
0.251 0.251 0.246
0.749 0.749 0.754
0.000 0.000 0.000
```

Calculated values
**Size of the total moment**: 0.000 μB per cell
**Energy of formation**: -0.329 eV/atom
**Volume**: 31.8 Å³/atom
**Relative energy among the computed polymorphs**: 0.072 eV/atom